This record from Alexandria via LeMat-Bulk describes a geometry-optimized LiIn2Sn structure. The functional is GGA-PBE.

a = 11.081 Å, b = 11.081 Å, c = 11.081 Å
α = 157.19°, β = 157.19°, γ = 32.47°
Positions (direct):
Li1 0.000 0.000 0.000
Li2 0.750 0.250 0.500
In1 0.115 0.625 0.990
In2 0.375 0.365 0.490
In3 0.635 0.125 0.010
In4 0.875 0.885 0.510
Sn1 0.250 0.750 0.500
Sn2 0.500 0.500 0.000

Results
E_form, eV/atom: -0.031
Spin magnetization, μB/cell: 0.00
Uncorrected energy, Ry per atom: -0.21161


This record from Alexandria via LeMat-Bulk describes a geometry-optimized CaPr7Zn4 structure. The functional is GGA-PBE.

a = 7.557 Å, b = 7.557 Å, c = 10.712 Å
α = 121.64°, β = 121.64°, γ = 44.43°
Positions (direct):
Ca1 0.000 0.000 0.000
Pr1 0.068 0.068 0.387
Pr2 0.209 0.209 0.878
Pr3 0.307 0.307 0.366
Pr4 0.500 0.500 0.000
Pr5 0.693 0.693 0.634
Pr6 0.791 0.791 0.122
Pr7 0.932 0.932 0.613
Zn1 0.322 0.322 0.668
Zn2 0.451 0.451 0.236
Zn3 0.549 0.549 0.764
Zn4 0.678 0.678 0.332

Results
E_form, eV/atom: -0.007
Spin magnetization, μB/cell: 0.00
Uncorrected energy, Ry per atom: -0.24890


This record from Alexandria via LeMat-Bulk describes a geometry-optimized CaSm3Cd6 structure. The functional is GGA-PBE.

a = 9.357 Å, b = 5.230 Å, c = 11.237 Å
α = 90.00°, β = 105.42°, γ = 90.00°
Positions (direct):
Ca1 0.054 0.250 0.394
Ca2 0.946 0.750 0.606
Sm1 0.238 0.250 0.999
Sm2 0.352 0.750 0.790
Sm3 0.471 0.250 0.609
Sm4 0.529 0.750 0.391
Sm5 0.648 0.250 0.210
Sm6 0.762 0.750 0.001
Cd1 0.052 0.750 0.897
Cd2 0.142 0.750 0.192
Cd3 0.150 0.250 0.695
Cd4 0.243 0.750 0.494
Cd5 0.336 0.250 0.294
Cd6 0.446 0.750 0.091
Cd7 0.554 0.250 0.909
Cd8 0.664 0.750 0.706
Cd9 0.757 0.250 0.506
Cd10 0.850 0.750 0.305
Cd11 0.858 0.250 0.808
Cd12 0.948 0.250 0.103

Results
E_form, eV/atom: -0.292
Spin magnetization, μB/cell: 0.61
Uncorrected energy, Ry per atom: -0.18058


This record from Alexandria via LeMat-Bulk describes a geometry-optimized Ac2SmPa3N8 structure. The functional is GGA-PBE.

a = 7.264 Å, b = 7.264 Å, c = 7.264 Å
α = 59.00°, β = 59.00°, γ = 59.00°
Positions (direct):
Ac1 0.000 0.000 0.000
Ac2 0.383 0.383 0.383
Sm1 0.768 0.768 0.768
Pa1 0.382 0.382 0.884
Pa2 0.382 0.884 0.382
Pa3 0.884 0.382 0.382
N1 0.137 0.137 0.572
N2 0.137 0.572 0.137
N3 0.153 0.153 0.153
N4 0.175 0.637 0.637
N5 0.572 0.137 0.137
N6 0.616 0.616 0.616
N7 0.637 0.175 0.637
N8 0.637 0.637 0.175

Results
ΔE_f (raw), eV/atom: -1.487
Spin magnetization, μB/cell: 0.00
Uncorrected energy, Ry per atom: -0.67639


This record from Alexandria via LeMat-Bulk describes a geometry-optimized Pr2SmReN4 structure. The functional is GGA-PBE.

a = 6.315 Å, b = 6.315 Å, c = 12.217 Å
α = 90.00°, β = 90.00°, γ = 147.56°
Positions (direct):
Pr1 0.132 0.868 0.539
Pr2 0.132 0.868 0.961
Pr3 0.868 0.132 0.039
Pr4 0.868 0.132 0.461
Sm1 0.375 0.625 0.750
Sm2 0.625 0.375 0.250
Re1 0.353 0.647 0.250
Re2 0.647 0.353 0.750
N1 0.072 0.928 0.750
N2 0.230 0.770 0.140
N3 0.230 0.770 0.360
N4 0.500 0.500 0.000
N5 0.500 0.500 0.500
N6 0.770 0.230 0.640
N7 0.770 0.230 0.860
N8 0.928 0.072 0.250

Results
ΔE_f (raw), eV/atom: -0.815
Spin magnetization, μB/cell: 0.00
Uncorrected energy, Ry per atom: -0.61142


This record from Alexandria via LeMat-Bulk describes a geometry-optimized Ba2TmTaS6 structure. The functional is GGA-PBE.

a = 12.998 Å, b = 12.998 Å, c = 12.998 Å
α = 31.37°, β = 31.37°, γ = 31.37°
Positions (direct):
Ba1 0.134 0.134 0.134
Ba2 0.299 0.299 0.299
Ba3 0.701 0.701 0.701
Ba4 0.866 0.866 0.866
Tm1 0.414 0.414 0.414
Tm2 0.586 0.586 0.586
Ta1 0.000 0.000 0.000
Ta2 0.500 0.500 0.500
S1 0.130 0.626 0.626
S2 0.200 0.200 0.714
S3 0.200 0.714 0.200
S4 0.286 0.800 0.800
S5 0.374 0.374 0.870
S6 0.374 0.870 0.374
S7 0.626 0.130 0.626
S8 0.626 0.626 0.130
S9 0.714 0.200 0.200
S10 0.800 0.286 0.800
S11 0.800 0.800 0.286
S12 0.870 0.374 0.374

Results
ΔE_f (raw), eV/atom: -1.677
Spin magnetization, μB/cell: 0.00
Uncorrected energy, Ry per atom: -0.45350


This record from Alexandria via LeMat-Bulk describes a geometry-optimized GdHoHf2 structure. The functional is GGA-PBE.

a = 4.653 Å, b = 4.653 Å, c = 4.795 Å
α = 90.00°, β = 90.00°, γ = 90.00°
Positions (direct):
Gd1 0.000 0.000 0.000
Ho1 0.500 0.500 0.000
Hf1 0.000 0.500 0.500
Hf2 0.500 0.000 0.500

Results
E_form, eV/atom: 0.188
E above lowest polymorph, meV/atom: 0
Spin magnetization, μB/cell: 7.15
Uncorrected energy, Ry per atom: -0.69479


This record from Alexandria via LeMat-Bulk describes a geometry-optimized Sr2Sb3Pd5 structure. The functional is GGA-PBE.

a = 8.979 Å, b = 8.979 Å, c = 8.979 Å
α = 102.94°, β = 92.64°, γ = 136.88°
Positions (direct):
Sr1 0.129 0.231 0.361
Sr2 0.371 0.731 0.102
Sr3 0.629 0.269 0.898
Sr4 0.871 0.769 0.639
Sb1 0.135 0.883 0.019
Sb2 0.250 0.750 0.500
Sb3 0.365 0.383 0.748
Sb4 0.635 0.617 0.252
Sb5 0.750 0.250 0.500
Sb6 0.865 0.117 0.981
Pd1 0.016 0.750 0.266
Pd2 0.108 0.651 0.759
Pd3 0.250 0.250 0.000
Pd4 0.392 0.151 0.543
Pd5 0.484 0.750 0.734
Pd6 0.516 0.250 0.266
Pd7 0.608 0.849 0.457
Pd8 0.750 0.750 0.000
Pd9 0.892 0.349 0.241
Pd10 0.984 0.250 0.734

Results
ΔE_f (raw), eV/atom: -0.714
Spin magnetization, μB/cell: 0.00
Uncorrected energy, Ry per atom: -0.35889


This record from Alexandria via LeMat-Bulk describes a geometry-optimized BaTl2IO8 structure. The functional is GGA-PBE.

a = 5.564 Å, b = 5.610 Å, c = 6.851 Å
α = 89.98°, β = 89.99°, γ = 88.74°
Positions (direct):
Ba1 0.000 0.000 0.000
Tl1 0.500 0.500 0.239
Tl2 0.500 0.500 0.761
I1 0.000 0.500 0.500
O1 0.126 0.697 0.699
O2 0.127 0.699 0.302
O3 0.301 0.318 0.500
O4 0.435 0.246 0.000
O5 0.565 0.754 0.000
O6 0.699 0.682 0.500
O7 0.873 0.301 0.698
O8 0.874 0.303 0.301

Results
ΔE_f (raw), eV/atom: -0.808
Spin magnetization, μB/cell: 1.09
Uncorrected energy, Ry per atom: -0.35258


Which value of uncorrected energy does entry 3 give?
-0.18058 Ry per atom


The highest spin magnetization belongs to which entry?
GdHoHf2


Look up the spin magnetization of the sixth one.
0.00 μB/cell